VASP calculation (GGA-PBE) on a relaxed AlGe2F8 crystal.

For the uncorrected formation energy, the calculation gives -2.5178 eV/atom.

a = 5.6691 Å, b = 5.6691 Å, c = 5.0952 Å
α = 105.00°, β = 105.00°, γ = 72.56°
Atoms (fractional coordinates):
Al (0.0000, 0.0000, 0.0000)
Ge (0.3375, 0.3375, 0.7471)
Ge (0.6625, 0.6625, 0.2529)
F (0.0634, 0.6833, 0.7800)
F (0.1228, 0.1228, 0.7748)
F (0.3167, 0.9366, 0.2200)
F (0.4117, 0.4117, 0.1413)
F (0.5883, 0.5883, 0.8587)
F (0.6833, 0.0634, 0.7800)
F (0.8772, 0.8772, 0.2252)
F (0.9366, 0.3167, 0.2200)


VASP calculation (GGA-PBE) on a relaxed Zn3Cu2Pd7 crystal.

The energy relative to the elements comes out at -0.19 eV/atom.

a = 4.3796 Å, b = 4.2660 Å, c = 10.5718 Å
α = 90.00°, β = 101.90°, γ = 90.00°
Atoms (fractional coordinates):
Zn (0.0000, 0.0000, 0.0000)
Zn (0.3495, 0.5000, 0.6983)
Zn (0.6505, 0.5000, 0.3017)
Cu (0.1539, 0.0000, 0.3064)
Cu (0.8461, 0.0000, 0.6936)
Pd (0.0793, 0.5000, 0.1585)
Pd (0.2831, 0.0000, 0.5665)
Pd (0.4190, 0.0000, 0.8397)
Pd (0.5000, 0.5000, 0.0000)
Pd (0.5810, 0.0000, 0.1603)
Pd (0.7169, 0.0000, 0.4335)
Pd (0.9207, 0.5000, 0.8415)


VASP calculation (GGA-PBE) on a relaxed RbSnS crystal.

For the uncorrected formation energy, the calculation gives -0.6004 eV/atom. The relative energy among the computed polymorphs is 0.000 eV per formula unit.

a = 7.0708 Å, b = 7.0708 Å, c = 7.0708 Å
α = 137.59°, β = 84.98°, γ = 110.43°
Atoms (fractional coordinates):
Rb (0.1532, 0.2500, 0.4032)
Rb (0.8468, 0.7500, 0.5968)
Sn (0.4195, 0.7513, 0.1682)
Sn (0.5830, 0.2513, 0.8318)
S (0.0013, 0.5005, 0.0007)
S (0.4998, 0.0005, 0.9993)


VASP calculation (GGA-PBE) on a relaxed AcGa2Au6 crystal.

The relative energy among the computed polymorphs is 0.726 eV per formula unit. The energy relative to the elements comes out at -0.30 eV/atom.

a = 5.8080 Å, b = 5.8080 Å, c = 7.2392 Å
α = 90.00°, β = 90.00°, γ = 120.00°
Atoms (fractional coordinates):
Ac (0.0000, 0.0000, 0.0000)
Ga (0.3333, 0.6667, 0.5000)
Ga (0.6667, 0.3333, 0.5000)
Au (0.0000, 0.5000, 0.2096)
Au (0.0000, 0.5000, 0.7904)
Au (0.5000, 0.0000, 0.2096)
Au (0.5000, 0.0000, 0.7904)
Au (0.5000, 0.5000, 0.2096)
Au (0.5000, 0.5000, 0.7904)


VASP calculation (GGA-PBE) on a relaxed Tm2MgNi crystal.

The relative energy among the computed polymorphs is 0.000 eV per formula unit. The energy relative to the elements comes out at -0.28 eV/atom.

a = 3.3941 Å, b = 3.3941 Å, c = 7.8249 Å
α = 90.00°, β = 90.00°, γ = 90.00°
Atoms (fractional coordinates):
Tm (0.0000, 0.0000, 0.2020)
Tm (0.0000, 0.0000, 0.7980)
Mg (0.5000, 0.5000, 0.5000)
Ni (0.5000, 0.5000, 0.0000)


VASP calculation (GGA-PBE) on a relaxed AcNdSeS crystal.

For the uncorrected formation energy, the calculation gives -1.9343 eV/atom.

a = 7.4408 Å, b = 7.4408 Å, c = 7.4408 Å
α = 33.22°, β = 33.22°, γ = 33.22°
Atoms (fractional coordinates):
Ac (0.0000, 0.0000, 0.0000)
Nd (0.5130, 0.5130, 0.5130)
Se (0.7610, 0.7610, 0.7610)
S (0.2510, 0.2510, 0.2510)


VASP calculation (GGA-PBE) on a relaxed SrZrAs crystal.

The energy relative to the elements comes out at -0.27 eV/atom.

a = 4.9072 Å, b = 4.9072 Å, c = 4.9072 Å
α = 60.00°, β = 60.00°, γ = 60.00°
Atoms (fractional coordinates):
Sr (0.0000, 0.0000, 0.0000)
Zr (0.5000, 0.5000, 0.5000)
As (0.2500, 0.2500, 0.2500)


VASP calculation (GGA-PBE) on a relaxed Pm12Er5Al2 crystal.

The energy relative to the elements comes out at 0.06 eV/atom.

a = 9.7713 Å, b = 9.7713 Å, c = 8.9497 Å
α = 106.71°, β = 106.71°, γ = 48.60°
Atoms (fractional coordinates):
Pm (0.0210, 0.0210, 0.1923)
Pm (0.1126, 0.5806, 0.0295)
Pm (0.1602, 0.5608, 0.6309)
Pm (0.4194, 0.8874, 0.9705)
Pm (0.4392, 0.8398, 0.3691)
Pm (0.4517, 0.4517, 0.3306)
Pm (0.5483, 0.5483, 0.6694)
Pm (0.5608, 0.1602, 0.6309)
Pm (0.5806, 0.1126, 0.0295)
Pm (0.8398, 0.4392, 0.3691)
Pm (0.8874, 0.4194, 0.9705)
Pm (0.9790, 0.9790, 0.8077)
Er (0.1848, 0.1848, 0.6694)
Er (0.2522, 0.2522, 0.2791)
Er (0.5000, 0.5000, 0.0000)
Er (0.7478, 0.7478, 0.7209)
Er (0.8152, 0.8152, 0.3306)
Al (0.1615, 0.8385, 0.5000)
Al (0.8385, 0.1615, 0.5000)


VASP calculation (GGA-PBE) on a relaxed NbNi2S4 crystal.

For the uncorrected formation energy, the calculation gives -0.4468 eV/atom. The relative energy among the computed polymorphs is 0.000 eV per formula unit.

a = 6.9612 Å, b = 6.9612 Å, c = 6.9612 Å
α = 120.08°, β = 120.08°, γ = 89.87°
Atoms (fractional coordinates):
Nb (0.3750, 0.6250, 0.7500)
Nb (0.6250, 0.3750, 0.2500)
Ni (0.0000, 0.0000, 0.0000)
Ni (0.0000, 0.0000, 0.5000)
Ni (0.0000, 0.5000, 0.0000)
Ni (0.5000, 0.0000, 0.5000)
S (0.2130, 0.2374, 0.9756)
S (0.2374, 0.2130, 0.4756)
S (0.2374, 0.7618, 0.0244)
S (0.2382, 0.7626, 0.4756)
S (0.7618, 0.2374, 0.5244)
S (0.7626, 0.2382, 0.9756)
S (0.7626, 0.7870, 0.5244)
S (0.7870, 0.7626, 0.0244)


VASP calculation (GGA-PBE) on a relaxed Bi2PbN crystal.

For the uncorrected formation energy, the calculation gives 0.6295 eV/atom. The relative energy among the computed polymorphs is 0.990 eV per formula unit.

a = 7.8767 Å, b = 7.8767 Å, c = 7.8767 Å
α = 134.45°, β = 134.45°, γ = 66.38°
Atoms (fractional coordinates):
Bi (0.0135, 0.6250, 0.8885)
Bi (0.3750, 0.2635, 0.3885)
Bi (0.7365, 0.1250, 0.1115)
Bi (0.8750, 0.9865, 0.6115)
Pb (0.2500, 0.7500, 0.5000)
Pb (0.5000, 0.5000, 0.0000)
N (0.0000, 0.0000, 0.0000)
N (0.7500, 0.2500, 0.5000)


VASP calculation (GGA-PBE) on a relaxed La6Pm2Pr crystal.

The energy relative to the elements comes out at 0.04 eV/atom.

a = 10.2665 Å, b = 10.2665 Å, c = 3.5646 Å
α = 90.00°, β = 90.00°, γ = 120.52°
Atoms (fractional coordinates):
La (0.1621, 0.4966, 0.0000)
La (0.1700, 0.1700, 0.0000)
La (0.4966, 0.1621, 0.0000)
La (0.5034, 0.8379, 0.0000)
La (0.8300, 0.8300, 0.0000)
La (0.8379, 0.5034, 0.0000)
Pm (0.1664, 0.8336, 0.5000)
Pm (0.8336, 0.1664, 0.5000)
Pr (0.5000, 0.5000, 0.5000)


VASP calculation (GGA-PBE) on a relaxed Sc5Ta crystal.

The relative energy among the computed polymorphs is 0.028 eV per formula unit. The energy relative to the elements comes out at 0.08 eV/atom.

a = 6.0661 Å, b = 6.0661 Å, c = 7.5526 Å
α = 102.73°, β = 102.73°, γ = 30.44°
Atoms (fractional coordinates):
Sc (0.0000, 0.0000, 0.0000)
Sc (0.0536, 0.0536, 0.5924)
Sc (0.3378, 0.3378, 0.6460)
Sc (0.6741, 0.6741, 0.3197)
Sc (0.7371, 0.7371, 0.9484)
Ta (0.3933, 0.3933, 0.2720)


VASP calculation (GGA-PBE) on a relaxed Rb2HfSn crystal.

The relative energy among the computed polymorphs is 1.673 eV per formula unit. The energy relative to the elements comes out at 1.10 eV/atom.

a = 5.9909 Å, b = 5.9909 Å, c = 5.9909 Å
α = 60.00°, β = 60.00°, γ = 60.00°
Atoms (fractional coordinates):
Rb (0.2500, 0.2500, 0.2500)
Rb (0.7500, 0.7500, 0.7500)
Hf (0.0000, 0.0000, 0.0000)
Sn (0.5000, 0.5000, 0.5000)


VASP calculation (GGA-PBE) on a relaxed RbNaTlBi2 crystal.

The relative energy among the computed polymorphs is 0.000 eV per formula unit. The energy relative to the elements comes out at -0.22 eV/atom.

a = 8.1865 Å, b = 8.1865 Å, c = 8.1865 Å
α = 147.25°, β = 140.59°, γ = 52.14°
Atoms (fractional coordinates):
Rb (0.0000, 0.0000, 0.0000)
Na (0.2279, 0.7279, 0.5000)
Tl (0.3872, 0.3872, 0.0000)
Bi (0.6095, 0.6095, 0.0000)
Bi (0.7584, 0.2584, 0.5000)


VASP calculation (GGA-PBE) on a relaxed BeBMo3 crystal.

The relative energy among the computed polymorphs is 0.000 eV per formula unit. The energy relative to the elements comes out at 0.44 eV/atom.

a = 4.1444 Å, b = 4.1444 Å, c = 4.1444 Å
α = 90.00°, β = 90.00°, γ = 90.00°
Atoms (fractional coordinates):
Be (0.0000, 0.0000, 0.0000)
B (0.5000, 0.5000, 0.5000)
Mo (0.0000, 0.5000, 0.5000)
Mo (0.5000, 0.0000, 0.5000)
Mo (0.5000, 0.5000, 0.0000)


VASP calculation (GGA-PBE) on a relaxed Ca5IrAu2 crystal.

The energy relative to the elements comes out at -0.56 eV/atom.

a = 7.6420 Å, b = 12.4962 Å, c = 4.5730 Å
α = 90.00°, β = 90.00°, γ = 90.00°
Atoms (fractional coordinates):
Ca (0.0000, 0.0000, 0.0000)
Ca (0.1561, 0.2982, 0.0000)
Ca (0.1724, 0.5839, 0.5000)
Ca (0.3276, 0.0839, 0.5000)
Ca (0.3439, 0.7982, 0.0000)
Ca (0.5000, 0.5000, 0.0000)
Ca (0.6561, 0.2018, 0.0000)
Ca (0.6724, 0.9161, 0.5000)
Ca (0.8276, 0.4161, 0.5000)
Ca (0.8439, 0.7018, 0.0000)
Ir (0.0000, 0.5000, 0.0000)
Ir (0.5000, 0.0000, 0.0000)
Au (0.0549, 0.8326, 0.5000)
Au (0.4451, 0.3326, 0.5000)
Au (0.5549, 0.6674, 0.5000)
Au (0.9451, 0.1674, 0.5000)


VASP calculation (GGA-PBE) on a relaxed Cs3SnBr crystal.

For the uncorrected formation energy, the calculation gives -0.5719 eV/atom. The relative energy among the computed polymorphs is 0.000 eV per formula unit.

a = 6.8600 Å, b = 6.8600 Å, c = 6.8600 Å
α = 90.00°, β = 90.00°, γ = 90.00°
Atoms (fractional coordinates):
Cs (0.0000, 0.0000, 0.5000)
Cs (0.0000, 0.5000, 0.0000)
Cs (0.5000, 0.0000, 0.0000)
Sn (0.5000, 0.5000, 0.5000)
Br (0.0000, 0.0000, 0.0000)


VASP calculation (GGA-PBE) on a relaxed RbCrHg3 crystal.

The relative energy among the computed polymorphs is 0.000 eV per formula unit. The energy relative to the elements comes out at 0.10 eV/atom.

a = 5.4642 Å, b = 5.4642 Å, c = 5.4642 Å
α = 90.00°, β = 90.00°, γ = 90.00°
Atoms (fractional coordinates):
Rb (0.0000, 0.0000, 0.0000)
Cr (0.5000, 0.5000, 0.5000)
Hg (0.0000, 0.5000, 0.5000)
Hg (0.5000, 0.0000, 0.5000)
Hg (0.5000, 0.5000, 0.0000)


VASP calculation (GGA-PBE) on a relaxed LiPmPd2 crystal.

The relative energy among the computed polymorphs is 0.000 eV per formula unit. The energy relative to the elements comes out at -0.65 eV/atom.

a = 4.5406 Å, b = 6.1042 Å, c = 5.5422 Å
α = 90.00°, β = 90.00°, γ = 90.00°
Atoms (fractional coordinates):
Li (0.2500, 0.2500, 0.1941)
Li (0.7500, 0.7500, 0.8059)
Pm (0.2500, 0.7500, 0.3495)
Pm (0.7500, 0.2500, 0.6505)
Pd (0.2500, 0.5192, 0.8328)
Pd (0.2500, 0.9808, 0.8328)
Pd (0.7500, 0.0192, 0.1672)
Pd (0.7500, 0.4808, 0.1672)


VASP calculation (GGA-PBE) on a relaxed YHf2Pt9 crystal.

The energy relative to the elements comes out at -1.09 eV/atom.

a = 4.0641 Å, b = 4.0641 Å, c = 12.1923 Å
α = 90.00°, β = 90.00°, γ = 90.00°
Atoms (fractional coordinates):
Y (0.0000, 0.0000, 0.0000)
Hf (0.0000, 0.0000, 0.3341)
Hf (0.0000, 0.0000, 0.6659)
Pt (0.0000, 0.5000, 0.1754)
Pt (0.0000, 0.5000, 0.5000)
Pt (0.0000, 0.5000, 0.8246)
Pt (0.5000, 0.0000, 0.1754)
Pt (0.5000, 0.0000, 0.5000)
Pt (0.5000, 0.0000, 0.8246)
Pt (0.5000, 0.5000, 0.0000)
Pt (0.5000, 0.5000, 0.3378)
Pt (0.5000, 0.5000, 0.6622)


VASP calculation (GGA-PBE) on a relaxed Co2OsPtN crystal.

For the uncorrected formation energy, the calculation gives 0.1999 eV/atom.

a = 3.9016 Å, b = 3.9016 Å, c = 3.9189 Å
α = 90.00°, β = 90.00°, γ = 90.00°
Atoms (fractional coordinates):
Co (0.0000, 0.5000, 0.0000)
Co (0.5000, 0.0000, 0.0000)
Os (0.0000, 0.0000, 0.5000)
Pt (0.5000, 0.5000, 0.5000)
N (0.0000, 0.0000, 0.0000)


VASP calculation (GGA-PBE) on a relaxed CaZr2RuRh crystal.

The energy relative to the elements comes out at 1.75 eV/atom.

a = 4.9621 Å, b = 4.9621 Å, c = 4.3592 Å
α = 90.00°, β = 90.00°, γ = 90.00°
Atoms (fractional coordinates):
Ca (0.0000, 0.0000, 0.0000)
Zr (0.0000, 0.5000, 0.0000)
Zr (0.5000, 0.0000, 0.0000)
Ru (0.0000, 0.0000, 0.5000)
Rh (0.5000, 0.5000, 0.5000)


VASP calculation (GGA-PBE) on a relaxed MgTi2O4 crystal.

For the uncorrected formation energy, the calculation gives -2.8229 eV/atom. The relative energy among the computed polymorphs is 0.000 eV per formula unit.

a = 6.0416 Å, b = 6.0416 Å, c = 6.0416 Å
α = 60.00°, β = 60.00°, γ = 60.00°
Atoms (fractional coordinates):
Mg (0.1250, 0.1250, 0.1250)
Mg (0.8750, 0.8750, 0.8750)
Ti (0.0000, 0.5000, 0.5000)
Ti (0.5000, 0.0000, 0.5000)
Ti (0.5000, 0.5000, 0.0000)
Ti (0.5000, 0.5000, 0.5000)
O (0.2582, 0.2582, 0.2582)
O (0.2582, 0.2582, 0.7253)
O (0.2582, 0.7253, 0.2582)
O (0.2747, 0.7418, 0.7418)
O (0.7253, 0.2582, 0.2582)
O (0.7418, 0.2747, 0.7418)
O (0.7418, 0.7418, 0.2747)
O (0.7418, 0.7418, 0.7418)


VASP calculation (GGA-PBE) on a relaxed TmHfTi4 crystal.

The energy relative to the elements comes out at 0.22 eV/atom.

a = 5.6108 Å, b = 5.6108 Å, c = 5.6108 Å
α = 60.00°, β = 60.00°, γ = 60.00°
Atoms (fractional coordinates):
Tm (0.0000, 0.0000, 0.0000)
Hf (0.2500, 0.2500, 0.2500)
Ti (0.1317, 0.6228, 0.6228)
Ti (0.6228, 0.1317, 0.6228)
Ti (0.6228, 0.6228, 0.1317)
Ti (0.6228, 0.6228, 0.6228)


VASP calculation (GGA-PBE) on a relaxed Hf2BiAu crystal.

The energy relative to the elements comes out at -0.17 eV/atom.

a = 4.4746 Å, b = 4.4746 Å, c = 4.3044 Å
α = 90.00°, β = 90.00°, γ = 90.00°
Atoms (fractional coordinates):
Hf (0.0000, 0.5000, 0.0000)
Hf (0.5000, 0.0000, 0.0000)
Bi (0.0000, 0.0000, 0.5000)
Au (0.5000, 0.5000, 0.5000)


What are the magnetic moment values for these records? In order: 0.97, 0.00, 0.00, 0.00, 0.00, 0.00, 1.93, 0.00, 0.00, 0.00, 0.00, 0.29, 0.00, 0.00, 0.00, 0.00, 2.00, 4.27, 0.00, 0.00, 3.45, 0.05, 1.55, 7.63, 0.00 μB/f.u..
What are the calculated density values for these records? In order: 3.639, 9.178, 3.647, 12.157, 7.753, 7.275, 5.043, 7.180, 4.719, 8.661, 6.487, 4.915, 5.113, 6.477, 7.177, 5.982, 3.072, 7.524, 7.887, 18.154, 14.396, 6.598, 3.920, 7.164, 14.699 g cm⁻³.